Entry 1:
DFT (GGA-PBE) results for a relaxed structure of Ce4Te5F2.

Cell: 9.7143 9.7143 8.3969 Å, 100.41 100.41 26.32°
With the nearest neighbours (Å) after each atom.
Sites, in units of the cell vectors:
Ce: 0.0262 0.0262 0.2450  2 F 2.46
Ce: 0.2955 0.2955 0.7854  1 F 2.57
Ce: 0.7045 0.7045 0.2146  1 F 2.57
Ce: 0.9738 0.9738 0.7550  2 F 2.46
Te: 0.1459 0.1459 0.9419  4 Ce 3.23-3.34, 2 F 3.44
Te: 0.1720 0.1720 0.4654  4 Ce 3.02-3.22
Te: 0.5000 0.5000 0.5000  4 Ce 3.18, 2 F 3.26
Te: 0.8280 0.8280 0.5346  4 Ce 3.02-3.22
Te: 0.8541 0.8541 0.0581  4 Ce 3.23-3.34, 2 F 3.44
F: 0.4339 0.4339 0.8315  3 Ce 2.46-2.57
F: 0.5661 0.5661 0.1685  3 Ce 2.46-2.57

Properties
Crystal system   monoclinic
Theoretical density   5.9 g/cm3
SG   No. 12
Total moment   4.00 μB/f.u.
E_form (uncorrected)   -1.830 eV per atom

Entry 2:
DFT (GGA-PBE) results for a relaxed structure of Pr2ErBi4.

Cell: 4.5171 4.5171 11.8708 Å, 90.00 90.00 90.00°
With the nearest neighbours (Å) after each atom.
Sites, in units of the cell vectors:
Pr: 0.0000 0.5000 0.2152  8 Bi 3.41-3.44
Pr: 0.5000 0.0000 0.7848  8 Bi 3.41-3.44
Er: 0.0000 0.0000 0.5000  4 Bi 3.08
Bi: 0.0000 0.0000 0.0000  4 Bi 3.19, 4 Pr 3.41
Bi: 0.0000 0.5000 0.6767  2 Er 3.08, 4 Pr 3.44
Bi: 0.5000 0.0000 0.3233  2 Er 3.08, 4 Pr 3.44
Bi: 0.5000 0.5000 0.0000  4 Bi 3.19, 4 Pr 3.41

Properties
Crystal system   tetragonal
Theoretical density   8.8 g/cm3
SG   No. 115
Total moment   0.00 μB/f.u.
E_form   -0.64 eV per atom

Entry 3:
DFT (GGA-PBE) results for a relaxed structure of KTi2Cl8.

Cell: 7.8596 7.8596 7.6501 Å, 90.00 90.00 120.00°
With the nearest neighbours (Å) after each atom.
Sites, in units of the cell vectors:
K: 0.0000 0.0000 0.0000  6 Cl 3.27
Ti: 0.3333 0.6667 0.8080  4 Cl 2.21-2.24
Ti: 0.6667 0.3333 0.1920  4 Cl 2.21-2.24
Cl: 0.1779 0.3558 0.7137  1 Ti 2.24
Cl: 0.1779 0.8221 0.7137  1 Ti 2.24
Cl: 0.3333 0.6667 0.0974  1 Ti 2.21
Cl: 0.3558 0.1779 0.2863  1 Ti 2.24
Cl: 0.6442 0.8221 0.7137  1 Ti 2.24
Cl: 0.6667 0.3333 0.9026  1 Ti 2.21
Cl: 0.8221 0.1779 0.2863  1 Ti 2.24
Cl: 0.8221 0.6442 0.2863  1 Ti 2.24

Properties
Crystal system   trigonal
Theoretical density   1.7 g/cm3
SG   No. 164
Excess energy over the best structure of this formula in the dataset   0 meV per atom
Total moment   1.00 μB/f.u.
E_form (uncorrected)   -1.633 eV per atom